## In2HgF2 (GGA-PBE)

Data for a relaxed In2HgF2 crystal.

## Properties
* total energy: -16.22 eV/cell
* space group: I4/mmm (139)

The structure in POSCAR format:
```
In2HgF2
1.0
-1.938 1.938 6.743
1.938 -1.938 6.743
1.938 1.938 -6.743
In Hg F
2 1 2
direct
0.140 0.140 0.000
0.860 0.860 0.000
0.500 0.500 0.000
0.250 0.750 0.500
0.750 0.250 0.500
```


## K2InHgF6 (GGA-PBE)

Data for a relaxed K2InHgF6 crystal.

## Properties
* total energy: -38.97 eV/cell
* space group: I4/m (87)

The structure in POSCAR format:
```
K2InHgF6
1.0
-2.988 2.988 4.527
2.988 -2.988 4.527
2.988 2.988 -4.527
K In Hg F
2 1 1 6
direct
0.250 0.750 0.500
0.750 0.250 0.500
0.000 0.000 0.000
0.500 0.500 0.000
0.134 0.680 0.815
0.230 0.230 0.000
0.320 0.134 0.454
0.680 0.866 0.546
0.770 0.770 0.000
0.866 0.320 0.185
```


## NaInHg2F6 (GGA-PBE)

Data for a relaxed NaInHg2F6 crystal.

## Properties
* total energy: -33.75 eV/cell
* space group: Fm-3m (225)

The structure in POSCAR format:
```
NaInHg2F6
1.0
0.000 4.132 4.132
4.132 0.000 4.132
4.132 4.132 0.000
Na In Hg F
1 1 2 6
direct
0.000 0.000 0.000
0.500 0.500 0.500
0.250 0.250 0.250
0.750 0.750 0.750
0.252 0.252 0.748
0.252 0.748 0.252
0.252 0.748 0.748
0.748 0.252 0.252
0.748 0.252 0.748
0.748 0.748 0.252
```


## Tl2InHgF6 (GGA-PBE)

Data for a relaxed Tl2InHgF6 crystal.

## Properties
* total energy: -37.08 eV/cell
* space group: Fm-3m (225)

The structure in POSCAR format:
```
Tl2InHgF6
1.0
0.000 4.439 4.439
4.439 0.000 4.439
4.439 4.439 0.000
Tl In Hg F
2 1 1 6
direct
0.250 0.250 0.250
0.750 0.750 0.750
0.000 0.000 0.000
0.500 0.500 0.500
0.233 0.233 0.767
0.233 0.767 0.233
0.233 0.767 0.767
0.767 0.233 0.233
0.767 0.233 0.767
0.767 0.767 0.233
```


## Hg2IrF6 (GGA-PBE)

Data for a relaxed Hg2IrF6 crystal.

## Properties
* size of the total moment: 1.00 μB/f.u.
* total energy: -65.34 eV/cell
* space group: P4_2/mnm (136)

The structure in POSCAR format:
```
Hg2IrF6
1.0
5.861 0.000 0.000
0.000 5.861 0.000
0.000 0.000 9.541
Hg Ir F
4 2 12
direct
0.000 0.000 0.137
0.000 0.000 0.863
0.500 0.500 0.363
0.500 0.500 0.637
0.000 0.000 0.500
0.500 0.500 0.000
0.159 0.159 0.346
0.159 0.159 0.654
0.231 0.769 0.500
0.269 0.269 0.000
0.341 0.659 0.154
0.341 0.659 0.846
0.659 0.341 0.154
0.659 0.341 0.846
0.731 0.731 0.000
0.769 0.231 0.500
0.841 0.841 0.346
0.841 0.841 0.654
```


## HgIrF5 (GGA-PBE)

Data for a relaxed HgIrF5 crystal.

## Properties
* size of the total moment: 0.11 μB/f.u.
* total energy: -27.08 eV/cell
* space group: Immm (71)

The structure in POSCAR format:
```
HgIrF5
1.0
-1.984 3.218 4.142
1.984 -3.218 4.142
1.984 3.218 -4.142
Hg Ir F
1 1 5
direct
0.000 0.000 0.000
0.500 0.500 0.000
0.192 0.500 0.692
0.261 0.261 0.000
0.500 0.000 0.500
0.739 0.739 0.000
0.808 0.500 0.308
```


## Tl2HgIrF6 (GGA-PBE)

Data for a relaxed Tl2HgIrF6 crystal.

## Properties
* size of the total moment: 0.00 μB/f.u.
* total energy: -38.71 eV/cell
* space group: Fm-3m (225)

The structure in POSCAR format:
```
Tl2HgIrF6
1.0
0.000 4.347 4.347
4.347 0.000 4.347
4.347 4.347 0.000
Tl Hg Ir F
2 1 1 6
direct
0.250 0.250 0.250
0.750 0.750 0.750
0.000 0.000 0.000
0.500 0.500 0.500
0.267 0.267 0.733
0.267 0.733 0.267
0.267 0.733 0.733
0.733 0.267 0.267
0.733 0.267 0.733
0.733 0.733 0.267
```


## KHgF6 (GGA-PBE)

Data for a relaxed KHgF6 crystal.

## Properties
* total energy: -21.76 eV/cell
* space group: P-1 (2)

The structure in POSCAR format:
```
KHgF6
1.0
4.924 0.000 0.000
2.348 4.579 0.000
2.406 1.240 4.925
K Hg F
1 1 6
direct
0.000 0.000 0.000
0.500 0.500 0.500
0.053 0.537 0.736
0.349 0.925 0.273
0.462 0.331 0.249
0.538 0.669 0.751
0.651 0.075 0.727
0.947 0.463 0.264
```


## KHgF3 (GGA-PBE)

Data for a relaxed KHgF3 crystal.

## Properties
* total energy: -33.82 eV/cell
* space group: P6_3/mmc (194)

The structure in POSCAR format:
```
KHgF3
1.0
4.102 0.000 0.000
-2.051 3.552 0.000
0.000 0.000 12.552
K Hg F
2 2 6
direct
0.000 0.000 0.000
0.000 0.000 0.500
0.333 0.667 0.250
0.667 0.333 0.750
0.000 0.000 0.250
0.000 0.000 0.750
0.333 0.667 0.083
0.333 0.667 0.417
0.667 0.333 0.583
0.667 0.333 0.917
```


## KHgF3 (GGA-PBE)

Data for a relaxed KHgF3 crystal.

## Properties
* total energy: -16.68 eV/cell
* space group: Pm-3m (221)

The structure in POSCAR format:
```
KHgF3
1.0
4.489 0.000 0.000
0.000 4.489 0.000
0.000 0.000 4.489
K Hg F
1 1 3
direct
0.000 0.000 0.000
0.500 0.500 0.500
0.000 0.500 0.500
0.500 0.000 0.500
0.500 0.500 0.000
```


## KHgF4 (GGA-PBE)

Data for a relaxed KHgF4 crystal.

## Properties
* relative energy among the computed polymorphs: 0.000 eV/atom
* space group: C2/c (15)

The structure in POSCAR format:
```
KHgF4
1.0
3.755 -5.335 0.000
3.755 5.335 0.000
-3.739 0.000 4.579
K Hg F
2 2 8
direct
0.125 0.875 0.750
0.875 0.125 0.250
0.376 0.624 0.250
0.624 0.376 0.750
0.046 0.564 0.266
0.279 0.300 0.735
0.300 0.279 0.235
0.436 0.954 0.234
0.564 0.046 0.766
0.700 0.721 0.765
0.721 0.700 0.265
0.954 0.436 0.734
```


## KHgF4 (GGA-PBE)

Data for a relaxed KHgF4 crystal.

## Properties
* relative energy among the computed polymorphs: 0.061 eV/atom
* space group: P4/mbm (127)

The structure in POSCAR format:
```
KHgF4
1.0
5.692 0.000 0.000
0.000 5.692 0.000
0.000 0.000 6.349
K Hg F
2 2 8
direct
0.000 0.500 0.000
0.500 0.000 0.000
0.000 0.000 0.500
0.500 0.500 0.500
0.000 0.000 0.169
0.000 0.000 0.831
0.152 0.348 0.500
0.348 0.848 0.500
0.500 0.500 0.169
0.500 0.500 0.831
0.652 0.152 0.500
0.848 0.652 0.500
```


## K2Li7Hg3F12 (GGA-PBE)

Data for a relaxed K2Li7Hg3F12 crystal.

## Properties
* total energy: -370.02 eV/cell
* space group: I4_1/acd (142)

The structure in POSCAR format:
```
K2Li7Hg3F12
1.0
-6.753 6.753 6.436
6.753 -6.753 6.436
6.753 6.753 -6.436
K Li Hg F
8 28 12 48
direct
0.000 0.000 0.000
0.000 0.000 0.500
0.000 0.500 0.000
0.000 0.500 0.500
0.500 0.000 0.000
0.500 0.000 0.500
0.500 0.500 0.000
0.500 0.500 0.500
0.076 0.826 0.651
0.109 0.279 0.990
0.119 0.109 0.330
0.125 0.875 0.250
0.174 0.326 0.250
0.211 0.881 0.490
0.221 0.391 0.510
0.279 0.789 0.170
0.289 0.779 0.670
0.326 0.576 0.151
0.375 0.625 0.750
0.381 0.711 0.990
0.391 0.381 0.170
0.424 0.076 0.750
0.576 0.924 0.250
0.609 0.619 0.830
0.619 0.289 0.010
0.625 0.375 0.250
0.674 0.424 0.849
0.711 0.221 0.330
0.721 0.211 0.830
0.779 0.609 0.490
0.789 0.119 0.510
0.826 0.674 0.750
0.875 0.125 0.750
0.881 0.891 0.670
0.891 0.721 0.010
0.924 0.174 0.349
0.125 0.375 0.750
0.129 0.750 0.879
0.250 0.129 0.879
0.250 0.629 0.379
0.371 0.250 0.621
0.375 0.125 0.250
0.625 0.875 0.750
0.629 0.750 0.379
0.750 0.371 0.621
0.750 0.871 0.121
0.871 0.250 0.121
0.875 0.625 0.250
0.031 0.113 0.801
0.031 0.886 0.803
0.083 0.386 0.356
0.097 0.210 0.479
0.113 0.812 0.083
0.114 0.417 0.144
0.118 0.731 0.521
0.188 0.771 0.301
0.210 0.231 0.113
0.228 0.031 0.644
0.229 0.031 0.417
0.231 0.618 0.021
0.269 0.290 0.387
0.271 0.688 0.801
0.272 0.917 0.803
0.290 0.403 0.021
0.312 0.613 0.583
0.382 0.903 0.613
0.386 0.531 0.303
0.387 0.469 0.699
0.403 0.882 0.113
0.417 0.772 0.303
0.469 0.271 0.083
0.469 0.272 0.856
0.531 0.728 0.144
0.531 0.729 0.917
0.583 0.228 0.697
0.597 0.118 0.887
0.613 0.531 0.301
0.614 0.469 0.697
0.618 0.097 0.387
0.688 0.387 0.417
0.710 0.597 0.979
0.728 0.083 0.197
0.729 0.312 0.199
0.731 0.710 0.613
0.769 0.382 0.979
0.771 0.969 0.583
0.772 0.969 0.356
0.790 0.769 0.887
0.812 0.229 0.699
0.882 0.269 0.479
0.886 0.583 0.856
0.887 0.188 0.917
0.903 0.790 0.521
0.917 0.614 0.644
0.969 0.114 0.197
0.969 0.887 0.199
```


## K2LiHgF6 (GGA-PBE)

Data for a relaxed K2LiHgF6 crystal.

## Properties
* relative energy among the computed polymorphs: 0.007 eV/atom
* space group: I4/mmm (139)

The structure in POSCAR format:
```
K2LiHgF6
1.0
-2.898 2.898 4.094
2.898 -2.898 4.094
2.898 2.898 -4.094
K Li Hg F
2 1 1 6
direct
0.250 0.750 0.500
0.750 0.250 0.500
0.000 0.000 0.000
0.500 0.500 0.000
0.236 0.236 0.000
0.236 0.236 0.473
0.236 0.764 0.000
0.764 0.236 0.000
0.764 0.764 0.000
0.764 0.764 0.527
```


## K2LiHgF6 (GGA-PBE)

Data for a relaxed K2LiHgF6 crystal.

## Properties
* relative energy among the computed polymorphs: 0.006 eV/atom
* space group: I4/m (87)

The structure in POSCAR format:
```
K2LiHgF6
1.0
-2.868 2.868 4.166
2.868 -2.868 4.166
2.868 2.868 -4.166
K Li Hg F
2 1 1 6
direct
0.250 0.750 0.500
0.750 0.250 0.500
0.000 0.000 0.000
0.500 0.500 0.000
0.195 0.722 0.917
0.236 0.236 0.000
0.278 0.195 0.474
0.722 0.805 0.526
0.764 0.764 0.000
0.805 0.278 0.083
```


## K2LiHgF6 (GGA-PBE)

Data for a relaxed K2LiHgF6 crystal.

## Properties
* relative energy among the computed polymorphs: 0.014 eV/atom
* space group: P-1 (2)

The structure in POSCAR format:
```
K2LiHgF6
1.0
5.767 0.000 0.000
-0.005 5.771 0.000
0.000 -0.002 8.173
K Li Hg F
4 2 2 12
direct
0.000 0.000 0.250
0.000 0.000 0.750
0.500 0.500 0.250
0.500 0.500 0.750
0.000 0.500 0.000
0.500 0.000 0.500
0.000 0.500 0.500
0.500 0.000 0.000
0.001 0.500 0.236
0.230 0.740 0.999
0.240 0.268 0.000
0.262 0.233 0.500
0.267 0.762 0.501
0.499 0.000 0.264
0.501 0.000 0.736
0.733 0.238 0.499
0.738 0.767 0.500
0.760 0.732 0.000
0.770 0.260 0.001
0.999 0.500 0.764
```


## K2LiHgF6 (GGA-PBE)

Data for a relaxed K2LiHgF6 crystal.

## Properties
* relative energy among the computed polymorphs: 0.000 eV/atom
* space group: C2/m (12)

The structure in POSCAR format:
```
K2LiHgF6
1.0
5.018 -2.888 0.000
5.018 2.888 0.000
-3.422 0.000 4.786
K Li Hg F
2 1 1 6
direct
0.248 0.248 0.245
0.752 0.752 0.755
0.500 0.500 0.000
0.000 0.000 0.500
0.235 0.707 0.209
0.262 0.262 0.707
0.293 0.765 0.791
0.707 0.235 0.209
0.738 0.738 0.293
0.765 0.293 0.791
```


## K2LiHgF6 (GGA-PBE)

Data for a relaxed K2LiHgF6 crystal.

## Properties
* relative energy among the computed polymorphs: 0.036 eV/atom
* space group: R-3m (166)

The structure in POSCAR format:
```
K2LiHgF6
1.0
2.852 1.646 10.038
-2.852 1.646 10.038
0.000 -3.293 10.038
K Li Hg F
4 2 2 12
direct
0.122 0.122 0.122
0.286 0.286 0.286
0.714 0.714 0.714
0.878 0.878 0.878
0.410 0.410 0.410
0.590 0.590 0.590
0.000 0.000 0.000
0.500 0.500 0.500
0.115 0.624 0.624
0.217 0.217 0.697
0.217 0.697 0.217
0.303 0.783 0.783
0.376 0.376 0.885
0.376 0.885 0.376
0.624 0.115 0.624
0.624 0.624 0.115
0.697 0.217 0.217
0.783 0.303 0.783
0.783 0.783 0.303
0.885 0.376 0.376
```